# 1
! Nd4CBrCl4 PBE-GGA optimized geometry; values from VASP
! E_tot = -5.3760 eV/atom
! symmetry = No. 12
&SYSTEM
  ibrav = 0, nat = 10, ntyp = 4
/
ATOMIC_SPECIES
Br 79.90 Br.upf
C 12.01 C.upf
Cl 35.45 Cl.upf
Nd 144.24 Nd.upf
ATOMIC_POSITIONS angstrom
Br 7.7871 0.0000 4.0438
C 8.8784 0.0000 0.0000
Cl 14.4097 0.0000 1.1938
Cl 2.1946 0.0000 2.7057
Cl 13.3797 0.0000 5.3818
Cl 1.1646 0.0000 6.8937
Nd 11.2870 0.0000 0.6937
Nd 17.2885 0.0000 1.6682
Nd -1.7142 0.0000 6.4194
Nd 4.2873 0.0000 7.3939
CELL_PARAMETERS angstrom
8.8784 -1.9647 0.0000
8.8784 1.9647 0.0000
-2.1825 0.0000 8.0876

# 2
! Pr2Nd2CBr3Cl2 PBE-GGA optimized geometry; values from VASP
! E_tot = -5.2369 eV/atom
! energy above the most stable polymorph in this dataset = 0.0 meV per atom
! symmetry = No. 12
&SYSTEM
  ibrav = 0, nat = 10, ntyp = 5
/
ATOMIC_SPECIES
Br 79.90 Br.upf
C 12.01 C.upf
Cl 35.45 Cl.upf
Nd 144.24 Nd.upf
Pr 140.91 Pr.upf
ATOMIC_POSITIONS angstrom
Br -13.0452 -0.2423 7.2874
Br -6.9982 3.1007 4.8892
Br -0.9512 6.4436 2.4911
C -8.0761 -0.9384 4.2724
Cl -1.9081 2.3440 1.7876
Cl -12.0883 3.8574 7.9908
Nd -10.1876 -0.5379 5.5853
Nd -3.8088 6.7393 4.1932
Pr 0.4426 1.6787 0.2594
Pr -14.4390 4.5227 9.5190
CELL_PARAMETERS angstrom
-9.0179 -0.4322 2.6034
-7.1344 -1.4446 5.9415
2.1559 8.0781 1.2336

# 3
! Pr2Nd2CBr3Cl2 PBE-GGA optimized geometry; values from VASP
! E_tot = -5.2369 eV/atom
! energy above the most stable polymorph in this dataset = 0.0 meV per atom
! symmetry = No. 12
&SYSTEM
  ibrav = 0, nat = 10, ntyp = 5
/
ATOMIC_SPECIES
Br 79.90 Br.upf
C 12.01 C.upf
Cl 35.45 Cl.upf
Nd 144.24 Nd.upf
Pr 140.91 Pr.upf
ATOMIC_POSITIONS angstrom
Br 14.9169 0.0000 1.3794
Br 8.1216 0.0000 4.0485
Br 1.3263 0.0000 6.7177
C 9.1967 0.0000 0.0000
Cl 2.2133 0.0000 2.7302
Cl 14.0299 0.0000 5.3669
Nd -0.4410 0.0000 1.6819
Nd 16.6842 0.0000 6.4152
Pr 11.6450 0.0000 0.6871
Pr 4.5982 0.0000 7.4100
CELL_PARAMETERS angstrom
9.1967 -1.9762 0.0000
9.1967 1.9762 0.0000
-2.1502 0.0000 8.0971

# 4
! Pr2Nd2CBrCl4 PBE-GGA optimized geometry; values from VASP
! E_tot = -5.3740 eV/atom
! symmetry = No. 12
&SYSTEM
  ibrav = 0, nat = 10, ntyp = 5
/
ATOMIC_SPECIES
Br 79.90 Br.upf
C 12.01 C.upf
Cl 35.45 Cl.upf
Nd 144.24 Nd.upf
Pr 140.91 Pr.upf
ATOMIC_POSITIONS angstrom
Br -2.9620 8.3533 -0.7490
C -4.0555 7.1470 3.1584
Cl -5.3139 13.5342 0.0722
Cl -1.7968 2.0037 2.5334
Cl -6.3142 12.2902 3.7835
Cl -2.7971 0.7598 6.2447
Nd -3.0030 4.9138 2.7078
Nd -5.1080 9.3802 3.6091
Pr -0.6498 -0.6851 2.2910
Pr -7.4612 14.9790 4.0259
CELL_PARAMETERS angstrom
-1.2423 9.0248 -0.0604
-4.6817 7.6817 -1.4376
-2.1870 -2.4126 7.8148

# 5
! Pr2Nd2CBrCl4 PBE-GGA optimized geometry; values from VASP
! E_tot = -5.3731 eV/atom
! symmetry = No. 12
&SYSTEM
  ibrav = 0, nat = 10, ntyp = 5
/
ATOMIC_SPECIES
Br 79.90 Br.upf
C 12.01 C.upf
Cl 35.45 Cl.upf
Nd 144.24 Nd.upf
Pr 140.91 Pr.upf
ATOMIC_POSITIONS angstrom
Br -6.1498 2.6525 5.7181
C -8.4080 1.9335 2.2698
Cl -13.2793 3.4303 4.8188
Cl -1.2163 1.1220 3.0885
Cl -11.0834 4.1831 8.3478
Cl 0.9796 1.8748 6.6174
Nd -15.8637 4.1603 5.9614
Nd 3.5640 1.1447 5.4749
Pr -10.4863 2.6271 3.5377
Pr -1.8134 2.6779 7.8986
CELL_PARAMETERS angstrom
-8.1334 3.7938 1.7021
-8.6825 0.0732 2.8374
4.5162 1.4380 6.8968

# 6
! Pr2Nd2CBr3Cl2 PBE-GGA optimized geometry; values from VASP
! E_tot = -5.2362 eV/atom
! energy above the most stable polymorph in this dataset = 0.7 meV per atom
! symmetry = No. 12
&SYSTEM
  ibrav = 0, nat = 10, ntyp = 5
/
ATOMIC_SPECIES
Br 79.90 Br.upf
C 12.01 C.upf
Cl 35.45 Cl.upf
Nd 144.24 Nd.upf
Pr 140.91 Pr.upf
ATOMIC_POSITIONS angstrom
Br -2.5619 -1.4871 2.1699
Br -6.8342 -0.0827 5.7720
Br -11.1065 1.3217 9.3742
C -6.1022 4.0492 5.1364
Cl -10.3186 5.4929 8.6912
Cl -3.3498 -5.6582 2.8529
Nd -7.9871 4.5639 6.7261
Nd -5.6812 -4.7292 4.8180
Pr -12.4670 6.3719 10.5019
Pr -1.2013 -6.5373 1.0422
CELL_PARAMETERS angstrom
-4.8226 4.0556 6.6515
-7.3817 4.0428 3.6213
-1.4640 -8.2638 1.2713

# 7
! Pr2Nd2CBr3Cl2 PBE-GGA optimized geometry; values from VASP
! E_tot = -5.2348 eV/atom
! energy above the most stable polymorph in this dataset = 2.2 meV per atom
! symmetry = No. 12
&SYSTEM
  ibrav = 0, nat = 10, ntyp = 5
/
ATOMIC_SPECIES
Br 79.90 Br.upf
C 12.01 C.upf
Cl 35.45 Cl.upf
Nd 144.24 Nd.upf
Pr 140.91 Pr.upf
ATOMIC_POSITIONS angstrom
Br 2.2732 0.0000 2.8754
Br 7.9522 0.0000 4.0820
Br 13.6312 0.0000 5.2885
C 8.9646 0.0000 0.0000
Cl 14.5696 0.0000 1.2662
Cl 1.3349 0.0000 6.8977
Nd 17.4646 0.0000 1.6753
Nd -1.5602 0.0000 6.4886
Pr 11.4182 0.0000 0.6601
Pr 4.4862 0.0000 7.5039
CELL_PARAMETERS angstrom
8.9646 -1.9748 0.0000
8.9646 1.9748 0.0000
-2.0248 0.0000 8.1639

# 8
! Nd2Sc2CBr2Cl3 PBE-GGA optimized geometry; values from VASP
! E_tot = -5.5978 eV/atom
! energy above the most stable polymorph in this dataset = 0.0 meV per atom
! symmetry = No. 12
&SYSTEM
  ibrav = 0, nat = 10, ntyp = 5
/
ATOMIC_SPECIES
Br 79.90 Br.upf
C 12.01 C.upf
Cl 35.45 Cl.upf
Nd 144.24 Nd.upf
Sc 44.96 Sc.upf
ATOMIC_POSITIONS angstrom
Br -3.2566 -1.3016 -0.0808
Br -14.0322 0.3959 -1.4214
C -7.6979 3.5061 -1.3676
Cl -12.9380 4.8127 -2.1055
Cl -8.6444 -0.4529 -0.7511
Cl -4.3508 -5.7185 0.6033
Nd -15.7323 5.3045 -2.4623
Nd -1.5564 -6.2103 0.9601
Sc -9.9037 3.8986 -1.6500
Sc -7.3851 -4.8044 0.1479
CELL_PARAMETERS angstrom
-7.8741 3.8333 0.4633
-7.5217 3.1789 -3.1984
-1.8930 -7.9179 1.2329